Entry 1:
The following is a DFT calculation (PBE) of a relaxed structure of BeGeSbW.

Summary:
- Energy relative to the elements, uncorrected: 342 meV/atom
- Energy above the lowest structure with this stoichiometry: 0.120 eV/atom
- Total energy: -6.0129 eV/atom
- M_tot: 0.00 μB/atom

Lattice parameters (Å, degrees): 3.2686 3.2686 13.1242 90.00 90.00 90.00
Closest atoms and distances in Å follow each position.
Space group I4mm (No. 107)
Inequivalent atoms, fractional coordinates:
Be  0.0000  0.0000  0.0000 x2  1 Sb 2.43, 1 W 2.44, 4 Ge 2.50
Ge  0.0000  0.0000  0.5734 x2  4 Be 2.50, 4 W 2.74
Sb  0.0000  0.0000  0.8145 x2  1 Be 2.43
W  0.0000  0.0000  0.1857 x2  1 Be 2.44

***

Entry 2:
The following is a DFT calculation (PBE) of a relaxed structure of In4Sn4Pb5.

Summary:
- Energy of formation: 0.03 eV/atom
- Total energy: -3.4734 eV/atom
- M_tot: 0.00 μB/atom

Lattice parameters (Å, degrees): 12.6347 12.6347 4.7624 90.00 90.00 90.00
Closest atoms and distances in Å follow each position.
Space group I4/m (No. 87)
Inequivalent atoms, fractional coordinates:
In  0.1551  0.7659  0.0000 x8  6 Pb 3.40-3.55, 4 Sn 3.40-3.57, 2 In 3.40
Sn  0.0794  0.3918  0.0000 x8  3 Pb 3.36-3.44, 5 Sn 3.38-3.39, 4 In 3.40-3.57
Pb  0.0000  0.0000  0.0000 x2  8 Pb 3.50, 4 In 3.55
Pb  0.0397  0.1996  0.5000 x8  3 Sn 3.36-3.44, 5 In 3.40-3.47, 4 Pb 3.50-3.64

***

Entry 3:
The following is a DFT calculation (PBE) of a relaxed structure of AcPuZnOs.

Summary:
- Energy of formation: 0.10 eV/atom
- Total energy: -7.6348 eV/atom
- M_tot: 1.37 μB/atom

Lattice parameters (Å, degrees): 7.2423 7.2423 7.2423 90.00 90.00 90.00
Closest atoms and distances in Å follow each position.
Space group F-43m (No. 216)
Inequivalent atoms, fractional coordinates:
Ac  0.0000  0.0000  0.0000 x4  4 Os 3.14, 4 Zn 3.14
Pu  0.0000  0.0000  0.5000 x4  4 Os 3.14, 4 Zn 3.14
Zn  0.2500  0.2500  0.7500 x4  4 Ac 3.14, 4 Pu 3.14
Os  0.2500  0.2500  0.2500 x4  4 Ac 3.14, 4 Pu 3.14

***

Entry 4:
The following is a DFT calculation (PBE) of a relaxed structure of Tb2AlGaNi6.

Summary:
- Energy of formation: -0.39 eV/atom
- Total energy: -5.4659 eV/atom
- M_tot: 0.00 μB/atom

Lattice parameters (Å, degrees): 4.9415 6.2189 6.2331 81.55 66.67 66.68
Closest atoms and distances in Å follow each position.
Space group P-1 (No. 2)
Inequivalent atoms, fractional coordinates:
Tb  0.2487  0.2953  0.2072 x2  7 Ni 2.92-3.05, 2 Ga 3.20, 2 Al 3.21
Al  0.0000  0.0000  0.0000 x1  6 Ni 2.37-2.46
Ga  0.5000  0.5000  0.5000 x1  6 Ni 2.38-2.46
Ni  0.2437  0.7569  0.2552 x2  1 Al 2.37, 1 Ga 2.39, 4 Ni 2.39-2.47
Ni  0.2490  0.9252  0.5757 x2  4 Ni 2.39-2.40, 1 Al 2.46, 1 Ga 2.46
Ni  0.2572  0.2427  0.7447 x2  1 Al 2.37, 1 Ga 2.38, 4 Ni 2.39-2.47

***

Entry 5:
The following is a DFT calculation (PBE) of a relaxed structure of SrLiRe2.

Summary:
- Energy of formation: 0.80 eV/atom
- Energy above the lowest structure with this stoichiometry: 0.363 eV/atom
- Total energy: -6.3189 eV/atom
- M_tot: 0.00 μB/atom

Lattice parameters (Å, degrees): 3.7780 3.7780 10.3546 90.00 90.00 90.00
Closest atoms and distances in Å follow each position.
Space group I4/mmm (No. 139)
Inequivalent atoms, fractional coordinates:
Sr  0.0000  0.0000  0.0000 x2  4 Li 2.67
Li  0.0000  0.0000  0.5000 x2  4 Sr 2.67
Re  0.0000  0.5000  0.2500 x4  4 Re 2.67

***

Entry 6:
The following is a DFT calculation (PBE) of a relaxed structure of TcGeAs2Br.

Summary:
- Energy relative to the elements, uncorrected: 523 meV/atom
- Energy above the lowest structure with this stoichiometry: 0.000 eV/atom
- Total energy: -4.6681 eV/atom
- M_tot: 0.00 μB/atom

Lattice parameters (Å, degrees): 4.7288 4.7288 5.4631 90.00 90.00 90.00
Closest atoms and distances in Å follow each position.
Space group P4/mmm (No. 123)
Inequivalent atoms, fractional coordinates:
Tc  0.0000  0.0000  0.0000 x1  4 As 2.36
Ge  0.5000  0.5000  0.5000 x1  4 Br 3.34, 8 As 3.61
As  0.0000  0.5000  0.0000 x2  2 Tc 2.36
Br  0.0000  0.0000  0.5000 x1  2 Tc 2.73

***

Entry 7:
The following is a DFT calculation (PBE) of a relaxed structure of Ac2LaY.

Summary:
- Energy of formation: 0.12 eV/atom
- Energy above the lowest structure with this stoichiometry: 0.097 eV/atom
- Total energy: -4.7807 eV/atom
- M_tot: 0.00 μB/atom

Lattice parameters (Å, degrees): 8.6163 8.6163 8.6163 90.00 90.00 90.00
Closest atoms and distances in Å follow each position.
Space group Fm-3m (No. 225)
Inequivalent atoms, fractional coordinates:
Ac  0.2500  0.2500  0.2500 x8  4 La 3.73, 4 Y 3.73
La  0.0000  0.0000  0.0000 x4  8 Ac 3.73
Y  0.0000  0.0000  0.5000 x4  8 Ac 3.73

***

Entry 8:
The following is a DFT calculation (PBE) of a relaxed structure of AlW2Se.

Summary:
- Energy relative to the elements, uncorrected: 483 meV/atom
- Energy above the lowest structure with this stoichiometry: 0.361 eV/atom
- Total energy: -7.8003 eV/atom
- M_tot: 0.00 μB/atom

Lattice parameters (Å, degrees): 3.1296 4.5135 4.6128 90.00 90.00 90.00
Closest atoms and distances in Å follow each position.
Space group Pmmm (No. 47)
Inequivalent atoms, fractional coordinates:
Al  0.0000  0.0000  0.0000 x1  4 W 2.75, 4 Se 2.79
W  0.0000  0.5000  0.5000 x1  4 Se 2.75, 4 W 2.79
W  0.5000  0.5000  0.0000 x1  4 Al 2.75, 4 W 2.79
Se  0.5000  0.0000  0.5000 x1  4 W 2.75, 4 Al 2.79

***

Entry 9:
The following is a DFT calculation (PBE) of a relaxed structure of TaTi2ZnC.

Summary:
- Energy of formation: -0.37 eV/atom
- Energy above the lowest structure with this stoichiometry: 0.000 eV/atom
- Total energy: -7.9961 eV/atom
- M_tot: 0.00 μB/atom

Lattice parameters (Å, degrees): 4.1632 4.1632 4.2733 90.00 90.00 90.00
Closest atoms and distances in Å follow each position.
Space group P4/mmm (No. 123)
Inequivalent atoms, fractional coordinates:
Ta  0.0000  0.0000  0.0000 x1  2 C 2.14
Ti  0.0000  0.5000  0.5000 x2  2 C 2.08
Zn  0.5000  0.5000  0.0000 x1  4 Ta 2.94, 8 Ti 2.98
C  0.0000  0.0000  0.5000 x1  4 Ti 2.08, 2 Ta 2.14

***

Entry 10:
The following is a DFT calculation (PBE) of a relaxed structure of TmAg3F6.

Summary:
- Energy relative to the elements, uncorrected: -2209 meV/atom
- Energy above the lowest structure with this stoichiometry: 0.009 eV/atom
- Total energy: -4.6343 eV/atom
- M_tot: 0.00 μB/atom

Lattice parameters (Å, degrees): 7.5360 11.6262 3.8242 90.00 90.00 90.00
Closest atoms and distances in Å follow each position.
Space group Cmmm (No. 65)
Inequivalent atoms, fractional coordinates:
Tm  0.0000  0.0000  0.0000 x2  8 F 2.26-2.28
Ag  0.0000  0.5000  0.0000 x2  4 F 2.35
Ag  0.2500  0.2500  0.5000 x4  6 F 2.48-2.52
F  0.0000  0.1064  0.5000 x4  2 Tm 2.28, 1 F 2.47, 2 Ag 2.52
F  0.2434  0.1142  0.0000 x8  1 Tm 2.26, 3 Ag 2.35-2.48

***

Entry 11:
The following is a DFT calculation (PBE) of a relaxed structure of MnMo3.

Summary:
- Energy of formation: 0.24 eV/atom
- Total energy: -10.1794 eV/atom
- M_tot: 0.00 μB/atom

Lattice parameters (Å, degrees): 2.7057 2.7057 8.0867 90.00 90.00 90.00
Closest atoms and distances in Å follow each position.
Space group P4/mmm (No. 123)
Inequivalent atoms, fractional coordinates:
Mn  0.0000  0.0000  0.0000 x1  8 Mo 2.60, 4 Mn 2.71
Mo  0.0000  0.0000  0.5000 x1  12 Mo 2.71-2.98
Mo  0.5000  0.5000  0.2174 x2  4 Mn 2.60, 4 Mo 2.71

***

Entry 12:
The following is a DFT calculation (PBE) of a relaxed structure of Mn2CoAgC.

Summary:
- Energy of formation: 2.48 eV/atom
- Total energy: -5.0283 eV/atom
- M_tot: 1.94 μB/atom

Lattice parameters (Å, degrees): 4.8847 4.8847 4.6362 90.00 90.00 90.00
Closest atoms and distances in Å follow each position.
Space group P4/mmm (No. 123)
Inequivalent atoms, fractional coordinates:
Mn  0.0000  0.5000  0.0000 x2  2 Ag 2.44
Co  0.0000  0.0000  0.5000 x1  2 Ag 2.32
Ag  0.0000  0.0000  0.0000 x1  2 Co 2.32, 4 Mn 2.44
C  0.5000  0.5000  0.5000 x1  8 Mn 3.37, 4 Co 3.45

***

Entry 13:
The following is a DFT calculation (PBE) of a relaxed structure of DyZr3P4.

Summary:
- Energy of formation: -1.40 eV/atom
- Total energy: -7.8836 eV/atom
- M_tot: 0.00 μB/atom

Lattice parameters (Å, degrees): 7.6203 10.7584 3.7960 90.00 90.00 90.00
Closest atoms and distances in Å follow each position.
Space group Cmmm (No. 65)
Inequivalent atoms, fractional coordinates:
Dy  0.0000  0.0000  0.0000 x2  6 P 2.73-2.74
Zr  0.0000  0.5000  0.0000 x2  6 P 2.64
Zr  0.2500  0.2500  0.5000 x4  6 P 2.69
P  0.0000  0.2542  0.0000 x4  5 Zr 2.64-2.69, 1 Dy 2.73
P  0.2414  0.5000  0.5000 x4  4 Zr 2.64-2.69, 2 Dy 2.74

***

Entry 14:
The following is a DFT calculation (PBE) of a relaxed structure of Mn3AlH.

Summary:
- Total energy: -6.1029 eV/atom
- M_tot: 0.20 μB/atom

Lattice parameters (Å, degrees): 4.1440 4.1440 18.5547 90.00 90.00 90.00
Closest atoms and distances in Å follow each position.
Space group I-4m2 (No. 119)
Inequivalent atoms, fractional coordinates:
Mn  0.0000  0.0000  0.1591 x4  2 H 2.11
Mn  0.0000  0.2387  0.6255 x8  2 Mn 1.98-2.17
Al  0.0000  0.0000  0.5000 x2  4 Mn 2.53
Al  0.0000  0.5000  0.7500 x2  8 Mn 2.55-2.67
H  0.0000  0.5000  0.1377 x4  6 Mn 2.11-2.31

***

Entry 15:
The following is a DFT calculation (PBE) of a relaxed structure of Tb2Sc2Bi2C.

Summary:
- Energy of formation: -0.76 eV/atom
- Total energy: -6.3179 eV/atom
- M_tot: 0.10 μB/atom

Lattice parameters (Å, degrees): 4.5733 4.5733 16.0282 90.00 90.00 90.00
Closest atoms and distances in Å follow each position.
Space group I4/mmm (No. 139)
Inequivalent atoms, fractional coordinates:
Tb  0.0000  0.0000  0.1567 x4  1 C 2.51
Sc  0.0000  0.5000  0.0000 x4  2 C 2.29
Bi  0.0000  0.0000  0.3604 x4  4 Sc 3.20, 5 Tb 3.25-3.26
C  0.0000  0.0000  0.0000 x2  4 Sc 2.29, 2 Tb 2.51

***

Entry 16:
The following is a DFT calculation (PBE) of a relaxed structure of Zr6AgN.

Summary:
- Energy relative to the elements, uncorrected: -394 meV/atom
- Total energy: -8.2022 eV/atom
- M_tot: 0.00 μB/atom

Lattice parameters (Å, degrees): 5.1825 5.8038 5.9306 98.88 111.90 91.05
Closest atoms and distances in Å follow each position.
Space group P-1 (No. 2)
Inequivalent atoms, fractional coordinates:
Zr  0.0619  0.2969  0.1571 x2  1 N 2.32
Zr  0.2176  0.8257  0.4670 x2  1 N 2.25
Zr  0.3947  0.3812  0.7415 x2  1 N 2.21
Ag  0.5000  0.0000  0.0000 x1  6 Zr 2.83-3.10
N  0.0000  0.5000  0.5000 x1  6 Zr 2.21-2.32

***

Entry 17:
The following is a DFT calculation (PBE) of a relaxed structure of In2HgGe2.

Summary:
- Energy of formation: 0.13 eV/atom
- Energy above the lowest structure with this stoichiometry: 0.000 eV/atom
- Total energy: -2.8733 eV/atom
- M_tot: 0.00 μB/atom

Lattice parameters (Å, degrees): 5.0012 5.0012 10.4077 90.00 90.00 90.00
Closest atoms and distances in Å follow each position.
Space group I4/mmm (No. 139)
Inequivalent atoms, fractional coordinates:
In  0.0000  0.5000  0.2500 x4  4 Ge 2.85
Hg  0.0000  0.0000  0.0000 x2  8 In 3.61, 10 Ge 3.74-3.97
Ge  0.0000  0.0000  0.3816 x4  1 Ge 2.46

***

Entry 18:
The following is a DFT calculation (PBE) of a relaxed structure of Y3TmSc3.

Summary:
- Energy of formation: 0.03 eV/atom
- Energy above the lowest structure with this stoichiometry: 0.000 eV/atom
- Total energy: -6.0961 eV/atom
- M_tot: 0.26 μB/atom

Lattice parameters (Å, degrees): 9.2375 9.2375 5.4535 90.00 90.00 120.00
Closest atoms and distances in Å follow each position.
Space group P6_3/m (No. 176)
Inequivalent atoms, fractional coordinates:
Y  0.0479  0.2463  0.2500 x6  5 Sc 3.37-3.55, 1 Tm 3.43, 6 Y 3.44-3.62
Tm  0.3333  0.6667  0.2500 x2  9 Sc 3.37-3.49, 3 Y 3.43
Sc  0.0964  0.4832  0.7500 x6  4 Sc 3.35-3.44, 5 Y 3.37-3.55, 3 Tm 3.37-3.49

***

Entry 19:
The following is a DFT calculation (PBE) of a relaxed structure of Pr2SmDy12.

Summary:
- Energy of formation: 0.16 eV/atom
- Total energy: -4.4711 eV/atom
- M_tot: 0.00 μB/atom

Lattice parameters (Å, degrees): 7.0720 11.3357 24.8574 90.00 90.00 90.00
Closest atoms and distances in Å follow each position.
Space group Cmme (No. 67)
Inequivalent atoms, fractional coordinates:
Pr  0.0000  0.2500  0.2286 x4  2 Pr 3.54, 8 Dy 3.63-3.79
Pr  0.0000  0.2500  0.7658 x4  2 Pr 3.54, 10 Dy 3.68-3.89
Sm  0.0000  0.2500  0.4998 x4  8 Dy 3.44-3.62, 2 Sm 3.54
Dy  0.0000  0.0007  0.5785 x8  2 Sm 3.44-3.45, 8 Dy 3.48-3.55
Dy  0.0000  0.0136  0.0611 x8  5 Dy 3.05-3.30
Dy  0.2385  0.2500  0.9165 x8  8 Dy 3.30-3.70
Dy  0.2493  0.2500  0.3734 x8  8 Dy 3.36-3.55, 2 Sm 3.60-3.62
Dy  0.2500  0.0000  0.1719 x8  7 Dy 3.20-3.59
Dy  0.2500  0.0000  0.3008 x8  7 Dy 3.20-3.54

***

Entry 20:
The following is a DFT calculation (PBE) of a relaxed structure of SrSi2C.

Summary:
- Energy relative to the elements, uncorrected: 466 meV/atom
- Total energy: -4.9716 eV/atom
- M_tot: 0.00 μB/atom

Lattice parameters (Å, degrees): 6.7579 6.7579 6.3967 90.00 90.00 90.00
Closest atoms and distances in Å follow each position.
Space group I-42d (No. 122)
Inequivalent atoms, fractional coordinates:
Sr  0.0000  0.0000  0.0000 x4  8 Si 3.06-3.13, 2 C 3.20
Si  0.1281  0.2500  0.6250 x8  2 C 2.06
C  0.0000  0.0000  0.5000 x4  4 Si 2.06